Density functional theory data (PBE-GGA) for a geometry-optimized ScSbPt structure.

## Properties
N(E_F) ... 1.97 states/eV/f.u.
E_form (uncorrected) ... -705 meV per atom
Mass density ... 9.51 g cm⁻³

Unit cell a=3.3358 b=3.3358 c=11.3564 alpha=90.00 beta=90.00 gamma=90.00
Space group I4mm (No. 107)
Inequivalent atoms, fractional coordinates:
Sc1 0.0000 0.0000 0.0000 x2
Sb1 0.0000 0.0000 0.2966 x2
Pt1 0.0000 0.0000 0.6222 x2

Density functional theory data (PBE-GGA) for a geometry-optimized Cs3NdTe2O8 structure.

## Properties
N(E_F) ... 3.80 states/eV/f.u.
E_form (uncorrected) ... -1624 meV per atom
Mass density ... 4.68 g cm⁻³

Unit cell a=6.5980 b=6.5980 c=8.7075 alpha=90.00 beta=90.00 gamma=120.00
Space group P-3m1 (No. 164)
Inequivalent atoms, fractional coordinates:
Cs1 0.0000 0.0000 0.0000 x1
Cs2 0.3333 0.6667 0.7651 x2
Nd1 0.0000 0.0000 0.5000 x1
Te1 0.3333 0.6667 0.2988 x2
O1 0.1632 0.3265 0.3306 x6
O2 0.3333 0.6667 0.0862 x2